## LaCrIr2 (PBE)

Data for crystalline LaCrIr2 at its relaxed geometry.

Output
- Formation enthalpy at 0 K: -0.039 eV per atom
- DFT total energy: -8.107 eV/atom
- D(E_F): 0.92 states/eV per atom

a b c (Å): 4.357 4.357 3.895
angles (deg): 90.00 90.00 90.00
Positions (direct):
La 0.000 0.000 0.000
Cr 0.500 0.500 0.000
Ir 0.000 0.500 0.500
Ir 0.500 0.000 0.500



## SrZn2Ir2 (PBE)

Data for crystalline SrZn2Ir2 at its relaxed geometry.

Output
- Formation enthalpy at 0 K: -0.254 eV per atom
- DFT total energy: -4.644 eV/atom
- D(E_F): 0.28 states/eV per atom

a b c (Å): 4.378 4.378 10.291
angles (deg): 90.00 90.00 90.00
Positions (direct):
Sr 0.000 0.000 0.000
Sr 0.500 0.500 0.500
Zn 0.000 0.500 0.250
Zn 0.000 0.500 0.750
Zn 0.500 0.000 0.250
Zn 0.500 0.000 0.750
Ir 0.000 0.000 0.382
Ir 0.000 0.000 0.618
Ir 0.500 0.500 0.118
Ir 0.500 0.500 0.882



## SrCdS2N (PBE)

Data for crystalline SrCdS2N at its relaxed geometry.

Output
- DFT total energy: -3.124 eV/atom
- D(E_F): 0.73 states/eV per atom

a b c (Å): 5.623 5.623 4.821
angles (deg): 90.00 90.00 90.00
Positions (direct):
Sr 0.000 0.000 0.000
Cd 0.500 0.500 0.500
S 0.000 0.500 0.000
S 0.500 0.000 0.000
N 0.000 0.000 0.500



## KCoWC2 (PBE)

Data for crystalline KCoWC2 at its relaxed geometry.

Output
- Formation enthalpy at 0 K: 2.829 eV per atom
- DFT total energy: -5.091 eV/atom
- D(E_F): 0.70 states/eV per atom

a b c (Å): 3.937 3.937 4.817
angles (deg): 90.00 90.00 90.00
Positions (direct):
K 0.000 0.000 0.000
Co 0.000 0.000 0.500
W 0.500 0.500 0.000
C 0.000 0.500 0.500
C 0.500 0.000 0.500



## NaLi2LaSb2 (PBE)

Data for crystalline NaLi2LaSb2 at its relaxed geometry.

Output
- DFT total energy: -3.890 eV/atom

a b c (Å): 4.743 4.743 7.621
angles (deg): 90.00 90.00 120.00
Positions (direct):
Na 0.000 0.000 0.000
Li 0.333 0.667 0.157
Li 0.667 0.333 0.843
La 0.000 0.000 0.500
Sb 0.333 0.667 0.748
Sb 0.667 0.333 0.252



## Mg3P2Pt3Rh4 (PBE)

Data for crystalline Mg3P2Pt3Rh4 at its relaxed geometry.

Output
- Formation enthalpy at 0 K: -0.418 eV per atom
- DFT total energy: -5.679 eV/atom
- D(E_F): 0.59 states/eV per atom

a b c (Å): 12.719 12.719 12.719
angles (deg): 161.97 25.92 161.54
Positions (direct):
Mg 0.000 0.000 0.000
Mg 0.074 0.270 0.804
Mg 0.466 0.270 0.196
P 0.691 0.267 0.424
P 0.844 0.267 0.576
Pt 0.469 0.969 0.500
Pt 0.652 0.774 0.878
Pt 0.896 0.774 0.122
Rh 0.151 0.765 0.386
Rh 0.379 0.765 0.614
Rh 0.568 0.268 0.301
Rh 0.967 0.268 0.699



## NaGeRh2 (PBE)

Data for crystalline NaGeRh2 at its relaxed geometry.

Output
- Formation enthalpy at 0 K: -0.089 eV per atom
- DFT total energy: -5.249 eV/atom
- D(E_F): 1.01 states/eV per atom

a b c (Å): 3.036 3.036 25.361
angles (deg): 90.00 90.00 120.00
Positions (direct):
Na 0.000 0.000 0.000
Na 0.333 0.667 0.667
Na 0.667 0.333 0.333
Ge 0.000 0.000 0.500
Ge 0.333 0.667 0.167
Ge 0.667 0.333 0.833
Rh 0.000 0.000 0.235
Rh 0.000 0.000 0.765
Rh 0.333 0.667 0.431
Rh 0.333 0.667 0.902
Rh 0.667 0.333 0.098
Rh 0.667 0.333 0.569



## RbAc2CdTe4 (PBE)

Data for crystalline RbAc2CdTe4 at its relaxed geometry.

Output
- DFT total energy: -4.023 eV/atom
- D(E_F): 0.30 states/eV per atom

a b c (Å): 8.414 8.414 16.548
angles (deg): 90.00 90.00 146.27
Positions (direct):
Rb 0.121 0.879 0.750
Rb 0.879 0.121 0.250
Ac 0.373 0.627 0.557
Ac 0.373 0.627 0.943
Ac 0.627 0.373 0.057
Ac 0.627 0.373 0.443
Cd 0.150 0.850 0.250
Cd 0.850 0.150 0.750
Te 0.000 0.000 0.000
Te 0.000 0.000 0.500
Te 0.264 0.736 0.114
Te 0.264 0.736 0.386
Te 0.444 0.556 0.750
Te 0.556 0.444 0.250
Te 0.736 0.264 0.614
Te 0.736 0.264 0.886



Q: Which value of DFT total energy does entry 2 give?
A: -4.644 eV/atom